VASP calculation (SCAN) on Ta2RhCl at its PBEsol-relaxed geometry.

Lattice parameters (Å, degrees): 2.9004 2.9004 7.1074 90.00 90.00 90.00
Atoms (fractional coordinates):
Ta 0.0000 0.0000 0.2407
Ta 0.0000 0.0000 0.7593
Rh 0.5000 0.5000 0.5000
Cl 0.5000 0.5000 0.0000

Calculated values
Total moment (μB/atom): 0.00
Relative energy among the computed polymorphs (meV per atom): 0
SG: P4/mmm